CoNiF4 | PBE+U | relaxed

Unit cell a=6.6720 b=6.6897 c=3.1659 alpha=90.00 beta=90.00 gamma=90.00
Space group Cmmm (No. 65)
Inequivalent atoms, fractional coordinates:
Co1 0.0000 0.0000 0.0000 [2 per cell]
Ni1 0.0000 0.5000 0.5000 [2 per cell]
F1 0.0000 0.3059 0.0000 [4 per cell]
F2 0.1978 0.0000 0.5000 [4 per cell]

## Properties
Total magnetization = 5.00 μB per formula unit
V = 11.78 Å³/atom
E_tot = -4.680 eV per atom